(1)
SrMgZr2Ti (PBEsol, optimized geometry); E_form = 1803 meV/atom; theoretical density = 4.34 g/cm3; space group = P4/mmm (123); raw total energy = -4.209 eV per atom
1.0
-2.4402 -4.0900 1.6270
2.5408 0.2103 4.3393
-3.6954 3.0075 2.0180
Sr Mg Zr Ti
1 1 2 1
Cartesian
0.0000 0.0000 0.0000
-1.8477 1.5037 1.0090
1.2704 0.1052 2.1697
-1.2201 -2.0450 0.8135
-1.7974 -0.4361 3.9922

(2)
TiTlReI2 (PBEsol, optimized geometry); theoretical density = 7.97 g/cm3; uncorrected formation energy = 0.77 eV per atom; space group = P4/mmm (123); raw total energy = -4.790 eV per atom
1.0
4.7211 0.0000 0.0000
0.0000 5.5275 0.0000
0.0000 0.0000 5.5275
I Re Tl Ti
2 1 1 1
Cartesian
0.0000 0.0000 2.7638
0.0000 2.7638 0.0000
2.3605 0.0000 0.0000
2.3605 2.7638 2.7638
0.0000 0.0000 0.0000

(3)
Y3CdIn (PBEsol, optimized geometry); E_form = 285 meV/atom; theoretical density = 4.91 g/cm3; space group = Pm-3m (221); raw total energy = -4.644 eV per atom
1.0
-1.8439 0.1716 -5.1870
4.7200 -2.2333 -1.7518
-2.1579 -5.0316 0.6006
Y Cd In
3 1 1
Cartesian
2.3600 -1.1166 -0.8759
-1.0789 -2.5158 0.3003
-0.9219 0.0858 -2.5935
0.0000 0.0000 0.0000
0.3591 -3.5466 -3.1691

(4)
Ag2IrSe (PBEsol, optimized geometry); theoretical density = 12.49 g/cm3; uncorrected formation energy = 0.38 eV per atom; space group = Immm (71); raw total energy = -4.696 eV per atom
1.0
-2.0468 2.0426 -0.8703
0.9336 -0.9059 -4.3217
-2.7936 -3.9333 2.5776
Ag Ir Se
2 1 1
Cartesian
-2.2074 -1.0897 -2.6051
-1.6994 -1.7068 -0.0093
-1.0234 1.0213 -0.4352
0.4668 -0.4529 -2.1608

(5)
GaSiIN2 (PBEsol, optimized geometry); theoretical density = 5.32 g/cm3; uncorrected formation energy = 0.71 eV per atom; space group = P4/mmm (123); raw total energy = -4.875 eV per atom
1.0
3.6816 0.0000 0.0000
0.0000 3.6816 0.0000
0.0000 0.0000 5.8158
I Si Ga N
1 1 1 2
Cartesian
0.0000 0.0000 2.9079
0.0000 0.0000 0.0000
1.8408 1.8408 2.9079
0.0000 1.8408 0.0000
1.8408 0.0000 0.0000

(6)
TaTl2Cl (PBEsol, optimized geometry); theoretical density = 11.88 g/cm3; uncorrected formation energy = 0.49 eV per atom; space group = Pmmm (47); raw total energy = -4.462 eV per atom; energy relative to the lowest polymorph listed for this composition = 490 meV per atom
1.0
3.0773 0.0000 0.0000
0.0000 5.3026 0.0000
0.0000 0.0000 5.3560
Tl Cl Ta
2 1 1
Cartesian
0.0000 0.0000 0.0000
1.5387 0.0000 2.6780
1.5387 2.6513 0.0000
0.0000 2.6513 2.6780

(7)
ZnSb2Os (PBEsol, optimized geometry); theoretical density = 11.21 g/cm3; uncorrected formation energy = 0.53 eV per atom; space group = Cmmm (65); raw total energy = -5.194 eV per atom
1.0
-3.1569 0.9763 -0.2991
-1.4682 -4.1940 1.8328
0.5443 2.9120 3.7852
Os Sb Zn
1 2 1
Cartesian
-2.0403 -0.1528 2.6594
-0.7341 -2.0970 0.9164
0.2722 1.4560 1.8926
-1.5784 0.4881 -0.1496

(8)
Co2SO (PBEsol, optimized geometry); theoretical density = 7.28 g/cm3; uncorrected formation energy = -0.11 eV per atom; space group = Fm-3m (225); raw total energy = -6.391 eV per atom
1.0
-1.3460 3.0938 1.6788
-3.2457 -0.1527 1.9088
0.0110 0.2599 3.7595
S Co O
1 2 1
Cartesian
-2.2904 1.6004 3.6736
-1.1452 0.8002 1.8368
-3.4356 2.4007 5.5103
0.0000 0.0000 0.0000

(9)
CoW2Au (PBEsol, optimized geometry); E_form = 276 meV/atom; theoretical density = 17.74 g/cm3; space group = Pmm2 (25); raw total energy = -9.543 eV per atom; energy relative to the lowest polymorph listed for this composition = 63 meV per atom
1.0
2.7566 0.0000 0.0000
0.0000 3.6810 0.0000
0.0000 0.0000 5.7527
Au Co W
1 1 2
Cartesian
0.0000 0.0000 2.9489
1.3783 1.8405 4.4415
0.0000 0.0000 5.6031
1.3783 1.8405 1.3883

(10)
Ru2RhW (PBEsol, optimized geometry); E_form = -117 meV/atom; theoretical density = 14.65 g/cm3; space group = P4/mmm (123); raw total energy = -10.690 eV per atom; energy relative to the lowest polymorph listed for this composition = 0 meV per atom
1.0
3.7997 0.0000 0.0000
0.0000 3.8183 0.0000
0.0000 0.0000 3.8183
Ru Rh W
2 1 1
Cartesian
0.0000 0.0000 1.9091
0.0000 1.9091 0.0000
1.8999 0.0000 0.0000
1.8999 1.9091 1.9091

(11)
Mg4Hg5 (PBEsol, optimized geometry); E_form = -180 meV/atom; theoretical density = 9.52 g/cm3; space group = I4/mmm (139); raw total energy = -1.258 eV per atom; energy relative to the lowest polymorph listed for this composition = 57 meV per atom
1.0
-3.2802 -1.3420 -2.9316
2.8361 -1.6779 -6.0133
-0.9550 -6.7672 0.5583
Hg Mg
5 4
Cartesian
0.0000 0.0000 0.0000
-0.3314 -2.0053 -5.9274
-1.4063 -2.7512 -0.7751
-2.8289 -5.3580 -1.5982
-0.1127 -1.0146 -3.0176
-1.6264 -3.6180 -3.7402
0.2273 -6.1691 -4.6464
0.2598 -5.1365 -1.5474
1.6214 -3.3087 -3.9076

(12)
Al2SiHg (PBEsol, optimized geometry); theoretical density = 6.66 g/cm3; uncorrected formation energy = 0.22 eV per atom; space group = C2/m (12); raw total energy = -3.403 eV per atom; energy relative to the lowest polymorph listed for this composition = 104 meV per atom
1.0
2.8585 0.0786 0.1000
-0.3835 4.9848 0.1775
-0.3835 -1.0081 4.8850
Si Hg Al
1 1 2
Cartesian
1.4293 0.0393 0.0500
1.0458 2.0276 2.5813
-0.1917 -0.5041 2.4425
-0.1917 2.4924 0.0888

| no. | DOS at the Fermi energy (states/eV per cell) |
| --- | --- |
| 1 | 6.9 |
| 2 | 3.2 |
| 3 | 10.0 |
| 4 | 2.7 |
| 5 | 1.6 |
| 6 | 2.5 |
| 7 | 2.5 |
| 8 | 4.0 |
| 9 | 4.0 |
| 10 | 3.2 |
| 11 | 3.4 |
| 12 | 1.8 |